# La2SbP PBE optimized geometry
# * formation energy from raw total energies: -1.120 eV/atom
# * offset from the most stable computed form: 0.277 eV per atom
# * calculated total energy: -0.43857 Ry per atom
data_La2SbP
_cell_length_a 3.667
_cell_length_b 3.667
_cell_length_c 8.014
_cell_angle_alpha 90.00
_cell_angle_beta 90.00
_cell_angle_gamma 90.00
_symmetry_space_group_name_H-M 'P 4/m m m'
_symmetry_Int_Tables_number 123
_symmetry_space_group_name_Hall '-P 4 2'
loop_
_atom_site_label
_atom_site_type_symbol
_atom_site_fract_x
_atom_site_fract_y
_atom_site_fract_z
La1 La 0.000 0.000 0.216
Sb1 Sb 0.500 0.500 0.500
P1 P 0.500 0.500 0.000